No. 1
The following is a DFT calculation (GGA+U) of a relaxed CoBi2IrO8 crystal.

Output
* V: 157.8 Å³ per cell
* uncorrected energy: -71.6 eV for the cell shown
* M_tot: 1.4 μB/f.u.
* theoretical density: 8.4 g cm⁻³
* space group: P2/m (10)

Structure (POSCAR):
```
CoBi2IrO8
1.0
4.799 0.000 0.000
0.000 6.815 0.000
-0.101 0.000 4.823
Co Bi Ir O
1 2 1 8
Direct
0.000 0.000 0.000 Co
0.500 0.245 0.500 Bi
0.500 0.755 0.500 Bi
0.000 0.500 0.000 Ir
0.189 0.268 0.835 O
0.189 0.732 0.835 O
0.270 0.500 0.301 O
0.281 0.000 0.296 O
0.719 0.000 0.704 O
0.730 0.500 0.699 O
0.811 0.268 0.165 O
0.811 0.732 0.165 O
```

---

No. 2
The following is a DFT calculation (GGA+U) of a relaxed CoBi2IrO6 crystal.

Output
* V: 130.2 Å³ per cell
* uncorrected energy: -61.3 eV for the cell shown
* M_tot: 2.2 μB/f.u.
* theoretical density: 9.8 g cm⁻³
* space group: R3 (146)

Structure (POSCAR):
```
CoBi2IrO6
1.0
2.849 1.645 4.630
-2.849 1.645 4.630
0.000 -3.289 4.630
Co Bi Ir O
1 2 1 6
Direct
0.000 0.000 0.000 Co
0.269 0.269 0.269 Bi
0.773 0.773 0.773 Bi
0.491 0.491 0.491 Ir
0.155 0.703 0.337 O
0.213 0.647 0.825 O
0.337 0.155 0.703 O
0.647 0.825 0.213 O
0.703 0.337 0.155 O
0.825 0.213 0.647 O
```